Here is CsRbPt2 after structural relaxation from Alexandria. Energies are from PBE-GGA.

a b c (Å): 4.4431 7.8340 9.9919
angles (deg): 90.00 102.79 90.00
With the nearest neighbours (Å) after each atom.
Element x y z (fractional)
Cs1 0.1274 0.2500 0.2537  6 Pt 3.51-3.57
Cs2 0.8726 0.7500 0.7463  6 Pt 3.51-3.57
Rb1 0.3644 0.2500 0.7298  6 Pt 3.40-3.46
Rb2 0.6356 0.7500 0.2702  6 Pt 3.40-3.46
Pt1 0.2499 0.5869 0.4998  3 Pt 2.55-2.61
Pt2 0.2499 0.9131 0.4998  3 Pt 2.55-2.61
Pt3 0.7501 0.0869 0.5002  3 Pt 2.55-2.61
Pt4 0.7501 0.4131 0.5002  3 Pt 2.55-2.61

**N(E_F)**: 1.260 states/eV/atom
**Volume**: 169.6 Å³/f.u.
**Energy relative to the elements**: -0.4 eV/f.u.
**E above lowest polymorph**: 0 meV per atom